# 1
Here is a geometry-optimized KWS3 structure from the Alexandria database. Energies are from GGA-PBE.

The value obtained for the density of states at the Fermi level is 0.000 states/eV per atom. The value obtained for the uncorrected formation energy is -845 meV per atom. The final energy is -6.13 eV/atom.

Cell: 6.241 6.752 7.034 Å, 70.08 89.95 85.42°
Space group P-1 (No. 2)
Asymmetric unit:
K  0.214  0.192  0.179 [2 per cell]
W  0.286  0.575  0.531 [2 per cell]
S  0.002  0.368  0.717 [2 per cell]
S  0.278  0.843  0.640 [2 per cell]
S  0.488  0.688  0.238 [2 per cell]

=====

# 2
Here is a geometry-optimized KWS3 structure from the Alexandria database. Energies are from GGA-PBE.

The value obtained for the density of states at the Fermi level is 0.275 states/eV per atom. The value obtained for the uncorrected formation energy is -579 meV per atom. The final energy is -5.87 eV/atom.

Cell: 4.765 4.765 4.765 Å, 90.00 90.00 90.00°
Space group Pm-3m (No. 221)
Asymmetric unit:
K  0.000  0.000  0.000 [1 per cell]
W  0.500  0.500  0.500 [1 per cell]
S  0.000  0.500  0.500 [3 per cell]

=====

# 3
Here is a geometry-optimized KWS3 structure from the Alexandria database. Energies are from GGA-PBE.

The value obtained for the density of states at the Fermi level is 0.209 states/eV per atom. The value obtained for the uncorrected formation energy is -674 meV per atom. The final energy is -5.96 eV/atom.

Cell: 15.065 10.757 6.156 Å, 90.00 93.79 90.00°
Space group C2/c (No. 15)
Asymmetric unit:
K  0.000  0.114  0.250 [4 per cell]
K  0.000  0.337  0.750 [4 per cell]
W  0.246  0.425  0.089 [8 per cell]
S  0.143  0.455  0.376 [8 per cell]
S  0.153  0.064  0.605 [8 per cell]
S  0.168  0.231  0.087 [8 per cell]

=====

# 4
Here is a geometry-optimized KYS2 structure from the Alexandria database. Energies are from GGA-PBE.

The value obtained for the density of states at the Fermi level is 0.000 states/eV per atom. The value obtained for the uncorrected formation energy is -1850 meV per atom. The final energy is -5.80 eV/atom.

Cell: 4.0238 4.0238 7.6046 Å, 90.00 90.00 120.00°
Space group P-3m1 (No. 164)
Asymmetric unit:
K  0.0000  0.0000  0.0000 [1 per cell]
Y  0.0000  0.0000  0.5000 [1 per cell]
S  0.3333  0.6667  0.3001 [2 per cell]

=====

# 5
Here is a geometry-optimized KYS2 structure from the Alexandria database. Energies are from GGA-PBE.

The value obtained for the density of states at the Fermi level is 0.000 states/eV per atom. The value obtained for the uncorrected formation energy is -1353 meV per atom. The final energy is -5.31 eV/atom.

Cell: 4.594 23.241 5.227 Å, 90.00 90.00 90.00°
Space group Cmcm (No. 63)
Asymmetric unit:
K  0.000  0.188  0.250 [4 per cell]
Y  0.000  0.432  0.250 [4 per cell]
S  0.000  0.325  0.250 [4 per cell]
S  0.000  0.449  0.750 [4 per cell]

=====

# 6
Here is a geometry-optimized KY4S6 structure from the Alexandria database. Energies are from GGA-PBE.

The value obtained for the density of states at the Fermi level is 0.205 states/eV per atom. The value obtained for the uncorrected formation energy is -1961 meV per atom. The final energy is -6.66 eV/atom.

Cell: 3.959 13.196 20.905 Å, 90.00 90.00 90.00°
Space group Cmcm (No. 63)
Asymmetric unit:
K  0.000  0.152  0.250 [4 per cell]
Y  0.000  0.100  0.634 [8 per cell]
Y  0.000  0.369  0.542 [8 per cell]
S  0.000  0.000  0.000 [4 per cell]
S  0.000  0.167  0.750 [4 per cell]
S  0.000  0.272  0.079 [8 per cell]
S  0.000  0.465  0.653 [8 per cell]

=====

# 7
Here is a geometry-optimized KYS2 structure from the Alexandria database. Energies are from GGA-PBE.

The value obtained for the density of states at the Fermi level is 0.000 states/eV per atom. The value obtained for the uncorrected formation energy is -1627 meV per atom. The final energy is -5.58 eV/atom.

Cell: 10.375 10.371 17.308 Å, 90.00 99.24 90.00°
Space group C2/c (No. 15)
Asymmetric unit:
K  0.076  0.185  0.081 [8 per cell]
K  0.167  0.428  0.413 [8 per cell]
Y  0.025  0.189  0.842 [8 per cell]
Y  0.233  0.440  0.684 [8 per cell]
S  0.000  0.045  0.250 [4 per cell]
S  0.000  0.426  0.750 [4 per cell]
S  0.089  0.318  0.562 [8 per cell]
S  0.179  0.053  0.941 [8 per cell]
S  0.237  0.192  0.753 [8 per cell]

=====

# 8
Here is a geometry-optimized KY3S structure from the Alexandria database. Energies are from GGA-PBE.

The value obtained for the density of states at the Fermi level is 1.834 states/eV per atom. The value obtained for the uncorrected formation energy is -338 meV per atom. The final energy is -5.26 eV/atom.

Cell: 5.456 5.456 5.456 Å, 90.00 90.00 90.00°
Space group Pm-3m (No. 221)
Asymmetric unit:
K  0.000  0.000  0.000 [1 per cell]
Y  0.000  0.500  0.500 [3 per cell]
S  0.500  0.500  0.500 [1 per cell]